[1]
A plane-wave DFT calculation with GGA-PBEsol was carried out for a relaxed structure of Sr2CoCl.

a b c (Å): 3.6601 3.7532 8.2275
angles (deg): 103.18 102.85 90.00
Site moments in Bohr magnetons follow the coordinates.
Fractional coordinates of all 4 atoms:
Sr: 0.0621 0.0621 0.1243  -0.06
Sr: 0.7868 0.2868 0.5737  -0.07
Co: 0.1974 0.6974 0.3947  0.82
Cl: 0.4537 0.4537 0.9073  -0.01

Properties
space-group type: Imm2, No. 44
energy relative to the elements, uncorrected: -0.43 eV/atom
energy above the lowest structure with this stoichiometry: 41 meV per atom
density: 4.18 g/cm³

[2]
A plane-wave DFT calculation with GGA-PBEsol was carried out for a relaxed structure of Ta2CoCl.

a b c (Å): 4.4447 4.4447 4.4447
angles (deg): 60.00 60.00 60.00
Fractional coordinates of all 4 atoms:
Cl: 0.5000 0.5000 0.5000
Co: 0.2500 0.2500 0.2500
Ta: 0.0000 0.0000 0.0000
Ta: 0.7500 0.7500 0.7500

Properties
space-group type: F-43m, No. 216
energy relative to the elements, uncorrected: 0.94 eV/atom
energy above the lowest structure with this stoichiometry: 957 meV per atom
density: 12.20 g/cm³

[3]
A plane-wave DFT calculation with GGA-PBEsol was carried out for a relaxed structure of TaCo2Cl.

a b c (Å): 2.8604 4.3319 4.3319
angles (deg): 90.00 90.00 90.00
Fractional coordinates of all 4 atoms:
Cl: 0.5000 0.0000 0.0000
Co: 0.0000 0.0000 0.5000
Co: 0.0000 0.5000 0.0000
Ta: 0.5000 0.5000 0.5000

Properties
space-group type: P4/mmm, No. 123
energy relative to the elements, uncorrected: 0.64 eV/atom
energy above the lowest structure with this stoichiometry: 484 meV per atom
density: 10.34 g/cm³

[4]
A plane-wave DFT calculation with GGA-PBEsol was carried out for a relaxed structure of Ta2CoCl.

a b c (Å): 2.8723 2.8723 8.2484
angles (deg): 90.00 90.00 110.29
Site moments in Bohr magnetons follow the coordinates.
Fractional coordinates of all 4 atoms:
Cl: 0.0000 0.0000 0.5024  0.01
Co: 0.5000 0.5000 0.2370  0.79
Ta: 0.0000 0.0000 0.0212  0.04
Ta: 0.5000 0.5000 0.7395  0.00

Properties
space-group type: Cmm2, No. 35
energy relative to the elements, uncorrected: 0.10 eV/atom
energy above the lowest structure with this stoichiometry: 117 meV per atom
density: 11.87 g/cm³

[5]
A plane-wave DFT calculation with GGA-PBEsol was carried out for a relaxed structure of Ta2CoCl.

a b c (Å): 2.9239 2.9545 7.2942
angles (deg): 90.00 90.00 90.00
Fractional coordinates of all 4 atoms:
Cl: 0.5000 0.5000 0.5000
Co: 0.0000 0.5000 0.0000
Ta: 0.5000 0.0000 0.2107
Ta: 0.5000 0.0000 0.7893

Properties
space-group type: Pmmm, No. 47
energy relative to the elements, uncorrected: -0.01 eV/atom
energy above the lowest structure with this stoichiometry: 1 meV per atom
density: 12.02 g/cm³

[6]
A plane-wave DFT calculation with GGA-PBEsol was carried out for a relaxed structure of Ta2CoCl.

a b c (Å): 4.3185 4.3145 4.3649
angles (deg): 119.62 119.65 90.00
Fractional coordinates of all 4 atoms:
Cl: 0.5000 0.0000 0.0000
Co: 0.0000 0.5000 0.0000
Ta: 0.7488 0.7488 0.4977
Ta: 0.2512 0.2512 0.5023

Properties
space-group type: Immm, No. 71
energy relative to the elements, uncorrected: 0.34 eV/atom
energy above the lowest structure with this stoichiometry: 350 meV per atom
density: 13.03 g/cm³

[7]
A plane-wave DFT calculation with GGA-PBEsol was carried out for a relaxed structure of Ta2CoCl.

a b c (Å): 3.6064 3.6064 6.5502
angles (deg): 74.36 74.36 60.06
Fractional coordinates of all 4 atoms:
Cl: 0.5000 0.5000 0.0000
Co: 0.0000 0.0000 0.5000
Ta: 0.2759 0.2759 0.6771
Ta: 0.7241 0.7241 0.3229

Properties
space-group type: C2/m, No. 12
energy relative to the elements, uncorrected: -0.01 eV/atom
energy above the lowest structure with this stoichiometry: 0 meV per atom
density: 10.80 g/cm³

[8]
A plane-wave DFT calculation with GGA-PBEsol was carried out for a relaxed structure of TaCo2Cl.

a b c (Å): 2.9538 2.9538 6.9589
angles (deg): 90.00 90.00 90.00
Site moments in Bohr magnetons follow the coordinates.
Fractional coordinates of all 4 atoms:
Cl: 0.5000 0.5000 0.7078  0.00
Co: 0.0000 0.0000 0.0916  1.77
Co: 0.5000 0.5000 0.2346  1.39
Ta: 0.0000 0.0000 0.4660  0.01

Properties
space-group type: P4mm, No. 99
energy relative to the elements, uncorrected: 0.16 eV/atom
energy above the lowest structure with this stoichiometry: 0 meV per atom
density: 9.14 g/cm³

Question: Look up the energy above the lowest structure with this stoichiometry of the third one.
Answer: 484 meV per atom

Question: Which value of energy above the lowest structure with this stoichiometry does entry 1 give?
Answer: 41 meV per atom

Question: Look up the density of the second one.
Answer: 12.20 g/cm³